This record from OQMD via LeMat-Bulk describes crystalline HfZnCuSb at its relaxed geometry. The functional is PBE.

Properties
Uncorrected energy ... -18.3 eV/cell
ΔE to the lowest computed polymorph ... 0.168 eV per formula unit

abc: 4.718 4.718 4.718
angles: 60.00 60.00 60.00
Fractional coordinates of all 4 atoms:
Hf: 0.500 0.500 0.500
Cu: 0.750 0.750 0.750
Sb: 0.000 0.000 0.000
Zn: 0.250 0.250 0.250

---

This record from OQMD via LeMat-Bulk describes crystalline Mg6IrPb2 at its relaxed geometry. The functional is PBE.

Properties
Uncorrected energy ... -27.3 eV/cell

abc: 8.141 8.141 3.484
angles: 90.00 90.00 120.00
Fractional coordinates of all 9 atoms:
Mg: 0.000 0.752 0.000
Ir: 0.000 0.000 0.500
Mg: 0.653 0.653 0.500
Mg: 0.000 0.347 0.500
Pb: 0.667 0.333 0.000
Pb: 0.333 0.667 0.000
Mg: 0.347 0.000 0.500
Mg: 0.248 0.248 0.000
Mg: 0.752 0.000 0.000

---

This record from OQMD via LeMat-Bulk describes crystalline BaTa2Ni at its relaxed geometry. The functional is PBE.

Properties
Uncorrected energy ... -27.1 eV/cell

abc: 4.861 4.861 4.861
angles: 60.00 60.00 60.00
Fractional coordinates of all 4 atoms:
Ni: 0.000 0.000 0.000
Ba: 0.250 0.250 0.250
Ta: 0.500 0.500 0.500
Ta: 0.750 0.750 0.750

---

This record from OQMD via LeMat-Bulk describes crystalline Zr2BPb at its relaxed geometry. The functional is PBE.

Properties
Uncorrected energy ... -59.1 eV/cell

abc: 3.503 3.503 15.119
angles: 90.00 90.00 120.00
Fractional coordinates of all 8 atoms:
Pb: 0.333 0.667 0.750
B: 0.000 0.000 0.500
Zr: 0.667 0.333 0.916
Pb: 0.667 0.333 0.250
Zr: 0.667 0.333 0.584
Zr: 0.333 0.667 0.416
B: 0.000 0.000 0.000
Zr: 0.333 0.667 0.084

---

This record from OQMD via LeMat-Bulk describes crystalline DyZr at its relaxed geometry. The functional is PBE.

Properties
ΔH_f (0 K) ... 0.072 eV/atom
Uncorrected energy ... -65.0 eV/cell

abc: 5.867 9.024 5.364
angles: 90.00 90.00 71.03
Fractional coordinates of all 10 atoms:
Zr: 0.861 0.600 0.500
Dy: 0.255 0.812 0.500
Dy: 0.609 0.807 0.000
Dy: 0.816 0.393 0.000
Dy: 0.192 0.600 0.000
Zr: 0.674 0.007 0.500
Dy: 0.468 0.388 0.500
Zr: 0.979 0.018 0.000
Zr: 0.397 0.182 0.000
Zr: 0.081 0.193 0.500

---

This record from OQMD via LeMat-Bulk describes crystalline YMo6Se8 at its relaxed geometry. The functional is PBE.

Properties
Uncorrected energy ... -110.0 eV/cell

abc: 6.747 6.747 6.747
angles: 89.09 89.09 89.09
Fractional coordinates of all 15 atoms:
Mo: 0.232 0.424 0.559
Se: 0.370 0.122 0.758
Se: 0.878 0.242 0.630
Se: 0.630 0.878 0.242
Mo: 0.559 0.232 0.424
Mo: 0.424 0.559 0.232
Se: 0.242 0.630 0.878
Y: 0.000 0.000 0.000
Mo: 0.576 0.441 0.768
Mo: 0.441 0.768 0.576
Se: 0.122 0.758 0.370
Se: 0.758 0.370 0.122
Se: 0.763 0.763 0.763
Mo: 0.768 0.576 0.441
Se: 0.237 0.237 0.237

---

This record from OQMD via LeMat-Bulk describes crystalline ErUSb at its relaxed geometry. The functional is PBE.

Properties
Uncorrected energy ... -19.5 eV/cell

abc: 5.085 5.085 5.085
angles: 60.00 60.00 60.00
Fractional coordinates of all 3 atoms:
Sb: 0.000 0.000 0.000
Er: 0.250 0.250 0.250
U: 0.750 0.750 0.750

---

This record from OQMD via LeMat-Bulk describes crystalline NaRe3N5 at its relaxed geometry. The functional is PBE.

Properties
Uncorrected energy ... -72.2 eV/cell

abc: 5.254 5.254 5.410
angles: 90.00 90.00 120.00
Fractional coordinates of all 9 atoms:
N: 0.000 0.000 0.500
Na: 0.000 0.000 0.000
N: 0.667 0.333 0.254
N: 0.667 0.333 0.746
Re: 0.500 0.500 0.500
Re: 0.500 0.000 0.500
N: 0.333 0.667 0.254
Re: 0.000 0.500 0.500
N: 0.333 0.667 0.746

---

This record from OQMD via LeMat-Bulk describes crystalline LaTcPd at its relaxed geometry. The functional is PBE.

Properties
ΔH_f (0 K) ... 0.314 eV/atom
Uncorrected energy ... -19.5 eV/cell
ΔE to the lowest computed polymorph ... 0.000 eV per formula unit

abc: 4.552 4.552 4.552
angles: 60.00 60.00 60.00
Fractional coordinates of all 3 atoms:
Tc: 0.000 0.000 0.000
Pd: 0.750 0.750 0.750
La: 0.250 0.250 0.250

---

This record from OQMD via LeMat-Bulk describes crystalline LiLuPO at its relaxed geometry. The functional is PBE.

Properties
Uncorrected energy ... -48.2 eV/cell
ΔE to the lowest computed polymorph ... 0.000 eV per formula unit

abc: 3.669 3.669 9.363
angles: 90.00 90.00 90.00
Fractional coordinates of all 8 atoms:
Li: 0.000 0.000 0.500
O: 0.500 0.500 0.000
P: 0.500 0.000 0.312
Li: 0.500 0.500 0.500
Lu: 0.500 0.000 0.880
O: 0.000 0.000 0.000
Lu: 0.000 0.500 0.120
P: 0.000 0.500 0.688

---

This record from OQMD via LeMat-Bulk describes crystalline RbPrAgTe3 at its relaxed geometry. The functional is PBE.

Properties
Uncorrected energy ... -93.1 eV/cell

abc: 12.693 4.734 13.770
angles: 90.00 90.00 90.00
Fractional coordinates of all 24 atoms:
Te: 0.911 0.250 0.932
Te: 0.792 0.750 0.699
Te: 0.966 0.750 0.347
Rb: 0.304 0.250 0.008
Te: 0.292 0.750 0.801
Ag: 0.741 0.250 0.789
Te: 0.089 0.750 0.068
Te: 0.534 0.250 0.847
Te: 0.034 0.250 0.653
Rb: 0.804 0.250 0.492
Te: 0.208 0.250 0.301
Te: 0.708 0.250 0.199
Ag: 0.241 0.250 0.711
Te: 0.411 0.250 0.568
Ag: 0.759 0.750 0.289
Ag: 0.259 0.750 0.211
Te: 0.589 0.750 0.432
Pr: 0.972 0.250 0.189
Te: 0.466 0.750 0.153
Pr: 0.528 0.750 0.689
Pr: 0.028 0.750 0.811
Rb: 0.696 0.750 0.992
Rb: 0.196 0.750 0.508
Pr: 0.472 0.250 0.311

---

This record from OQMD via LeMat-Bulk describes crystalline LiGdIr at its relaxed geometry. The functional is PBE.

Properties
Uncorrected energy ... -14.9 eV/cell
ΔE to the lowest computed polymorph ... 0.993 eV per formula unit

abc: 4.574 4.574 4.574
angles: 60.00 60.00 60.00
Fractional coordinates of all 3 atoms:
Gd: 0.000 0.000 0.000
Li: 0.750 0.750 0.750
Ir: 0.250 0.250 0.250

---

This record from OQMD via LeMat-Bulk describes crystalline SrAsIrO at its relaxed geometry. The functional is PBE.

Properties
Uncorrected energy ... -38.1 eV/cell
ΔE to the lowest computed polymorph ... 6.289 eV per formula unit

abc: 4.357 4.357 7.261
angles: 90.00 90.00 90.00
Fractional coordinates of all 8 atoms:
Sr: 0.250 0.750 0.500
O: 0.250 0.750 0.000
O: 0.750 0.250 0.000
Ir: 0.250 0.250 0.136
Ir: 0.750 0.750 0.864
Sr: 0.750 0.250 0.500
As: 0.750 0.750 0.199
As: 0.250 0.250 0.801

---

This record from OQMD via LeMat-Bulk describes crystalline Sc2AlAu2 at its relaxed geometry. The functional is PBE.

Properties
Uncorrected energy ... -24.3 eV/cell

abc: 4.524 4.524 6.416
angles: 110.65 110.65 90.00
Fractional coordinates of all 5 atoms:
Al: 0.000 0.000 0.000
Sc: 0.250 0.750 0.500
Au: 0.617 0.617 0.234
Au: 0.383 0.383 0.766
Sc: 0.750 0.250 0.500

---

This record from OQMD via LeMat-Bulk describes crystalline ZnReB4 at its relaxed geometry. The functional is PBE.

Properties
Uncorrected energy ... -39.3 eV/cell
ΔE to the lowest computed polymorph ... 0.000 eV per formula unit

abc: 4.522 4.522 4.522
angles: 141.53 109.59 83.21
Fractional coordinates of all 6 atoms:
B: 0.916 0.255 0.661
Re: 0.500 0.500 0.000
Zn: 0.000 0.000 0.000
B: 0.594 0.255 0.339
B: 0.406 0.745 0.661
B: 0.084 0.745 0.339

---

This record from OQMD via LeMat-Bulk describes crystalline Dy3Cd3In2Au at its relaxed geometry. The functional is PBE.

Properties
Uncorrected energy ... -29.6 eV/cell

abc: 7.501 7.501 4.523
angles: 90.00 90.00 120.00
Fractional coordinates of all 9 atoms:
Cd: 0.243 0.243 0.000
Cd: 0.000 0.757 0.000
In: 0.333 0.667 0.000
Dy: 0.406 0.000 0.500
Dy: 0.594 0.594 0.500
Cd: 0.757 0.000 0.000
Au: 0.000 0.000 0.500
In: 0.667 0.333 0.000
Dy: 0.000 0.406 0.500

---

This record from OQMD via LeMat-Bulk describes crystalline Co2ReSn at its relaxed geometry. The functional is PBE.

Properties
Uncorrected energy ... -28.9 eV/cell

abc: 4.293 4.293 4.293
angles: 60.00 60.00 60.00
Fractional coordinates of all 4 atoms:
Co: 0.750 0.750 0.750
Co: 0.000 0.000 0.000
Re: 0.250 0.250 0.250
Sn: 0.500 0.500 0.500

---

This record from OQMD via LeMat-Bulk describes crystalline FeH4 at its relaxed geometry. The functional is PBE.

Properties
Uncorrected energy ... -41.5 eV/cell
ΔE to the lowest computed polymorph ... 0.000 eV per formula unit

abc: 4.171 4.166 4.667
angles: 56.01 55.91 68.08
Fractional coordinates of all 10 atoms:
Fe: 0.758 0.758 0.742
Fe: 0.508 0.508 0.492
H: 0.192 0.911 0.445
H: 0.805 0.798 0.058
H: 0.460 0.470 0.894
H: 0.074 0.356 0.780
H: 0.470 0.460 0.176
H: 0.911 0.192 0.452
H: 0.356 0.074 0.790
H: 0.798 0.805 0.339

---

This record from OQMD via LeMat-Bulk describes crystalline YHoGe at its relaxed geometry. The functional is PBE.

Properties
Uncorrected energy ... -34.4 eV/cell
ΔE to the lowest computed polymorph ... 0.094 eV per formula unit

abc: 5.062 5.062 6.474
angles: 90.00 90.00 120.00
Fractional coordinates of all 6 atoms:
Y: 0.000 0.000 0.739
Ho: 0.667 0.333 0.487
Ge: 0.333 0.667 0.484
Ho: 0.333 0.667 0.987
Ge: 0.667 0.333 0.984
Y: 0.000 0.000 0.239

---

This record from OQMD via LeMat-Bulk describes crystalline K2Nb3Cl9 at its relaxed geometry. The functional is PBE.

Properties
Uncorrected energy ... -139.7 eV/cell

abc: 9.571 9.727 9.727
angles: 117.21 102.91 102.91
Fractional coordinates of all 28 atoms:
Cl: 0.015 0.198 0.408
K: 0.673 0.551 0.229
Cl: 0.339 0.322 0.322
K: 0.327 0.771 0.449
K: 0.327 0.449 0.771
Nb: 0.143 0.048 0.225
Cl: 0.708 0.271 0.271
Cl: 0.321 0.125 0.914
Cl: 0.015 0.408 0.198
Cl: 0.679 0.875 0.086
Nb: 0.857 0.952 0.775
Cl: 0.000 0.790 0.210
Cl: 0.985 0.802 0.592
Cl: 0.679 0.086 0.875
Cl: 0.321 0.914 0.125
Nb: 0.869 0.120 0.120
Cl: 0.292 0.729 0.729
Cl: 0.661 0.678 0.678
Cl: 0.675 0.488 0.889
Nb: 0.857 0.775 0.952
Cl: 0.325 0.512 0.111
K: 0.673 0.229 0.551
Nb: 0.143 0.225 0.048
Nb: 0.131 0.880 0.880
Cl: 0.675 0.889 0.488
Cl: 0.985 0.592 0.802
Cl: 0.325 0.111 0.512
Cl: 0.000 0.210 0.790